Record 1
Below is an optimized crystal structure of PrHoTe2Se, with properties calculated at the GGA-PBE level.

```
10
Lattice="-0.415 -2.470 3.588 -2.593 -2.756 -2.197 12.549 -8.370 -4.310" Properties=species:S:1:pos:R:3 pbc="T T T"
Pr 7.735 -6.533 -0.934
Pr 3.310 -4.450 -2.680
Ho 0.922 -1.988 1.406
Ho 10.124 -8.995 -5.021
Te 7.659 -7.352 -4.174
Te 0.051 -2.277 -1.561
Te 10.994 -8.706 -2.053
Te 3.386 -3.632 0.560
Se 6.275 -4.185 -2.155
Se 4.771 -6.798 -1.459
```

Output
Energy relative to the elements, uncorrected: -1.409 eV/atom
Density: 7.1 g/cm3
Total moment: 0.00 μB per cell
Space-group type: P4/nmm (129)

Record 2
Below is an optimized crystal structure of Pr2HoTe2Se2, with properties calculated at the GGA-PBE level.

```
7
Lattice="-1.536 2.722 -4.257 4.110 -1.916 -2.708 -5.778 -6.668 1.098" Properties=species:S:1:pos:R:3 pbc="T T T"
Pr -3.423 -4.775 -1.818
Pr 0.219 -1.086 -4.050
Ho 0.000 0.000 0.000
Te -1.666 -2.324 -0.885
Te -1.538 -3.536 -4.983
Se 2.055 -0.958 -1.354
Se -0.768 1.361 -2.129
```

Output
Energy relative to the elements, uncorrected: -1.372 eV/atom
Density: 6.3 g/cm3
Total moment: 0.00 μB per cell
Space-group type: I4/mmm (139)

Record 3
Below is an optimized crystal structure of Pr4HoTh3Se8, with properties calculated at the GGA-PBE level.

```
16
Lattice="8.411 0.000 0.000 0.000 8.454 0.027 -4.206 -4.200 5.949" Properties=species:S:1:pos:R:3 pbc="T T T"
Pr 4.206 0.000 0.000
Pr 2.103 -2.100 2.975
Pr 0.000 0.000 0.000
Pr -2.103 -2.100 2.975
Ho 0.000 4.227 0.013
Th 4.206 4.227 0.013
Th 2.103 2.127 2.988
Th -2.103 2.127 2.988
Se -2.150 2.077 5.959
Se 0.000 4.224 2.917
Se 0.000 0.023 2.987
Se 2.150 2.077 5.959
Se 2.056 2.176 0.017
Se 4.206 4.231 2.989
Se 4.206 0.030 3.059
Se 6.355 2.176 0.017
```

Output
Energy relative to the elements, uncorrected: -1.707 eV/atom
Density: 8.1 g/cm3
Total moment: 0.00 μB per cell
Space-group type: R-3m (166)